# 1
{
  "formula": "Ho3ScBi2",
  "functional": "PBE",
  "state": "relaxed",
  "lattice_angstrom": [[-3.0486, 2.9651, 0.3697], [-3.0102, -1.0273, 8.0624], [5.0874, 7.4918, 6.5108]],
  "species": ["Sc", "Ho", "Ho", "Ho", "Bi", "Ho", "Ho", "Bi", "Sc", "Bi", "Bi", "Ho"],
  "frac_coords": [[0.4209, 0.4862, 0.6720], [0.0542, 0.1128, 0.7788], [0.9458, 0.8872, 0.2212], [0.3858, 0.2092, 0.0192], [0.6168, 0.2174, 0.5489], [0.2425, 0.1633, 0.3518], [0.7575, 0.8367, 0.6482], [0.8374, 0.4699, 0.8553], [0.5791, 0.5138, 0.3280], [0.1626, 0.5301, 0.1447], [0.3832, 0.7826, 0.4511], [0.6142, 0.7908, 0.9808]],
  "relative_energy_mev_per_atom": 223.5,
  "delta_e_f_mev_per_atom": -365,
  "vol_a3_per_atom": 31.488,
  "final_energy_ev_per_atom": -5.00,
  "total_magnetization_mub_per_cell": 0.00,
  "dos_ef_per_ev_fu": 6.65
}

# 2
{
  "formula": "ScHPtAu2",
  "functional": "PBE",
  "state": "relaxed",
  "lattice_angstrom": [[-0.1248, -3.6393, -2.2149], [1.3757, -2.1315, 3.4249], [-3.8342, -0.5844, 1.1763]],
  "species": ["Sc", "H", "Au", "Pt", "Au"],
  "frac_coords": [[0.0000, 0.0000, 0.5000], [0.0000, 0.0000, 0.0000], [0.5000, 0.0000, 0.0000], [0.5000, 0.5000, 0.5000], [0.0000, 0.5000, 0.0000]],
  "vol_a3_per_atom": 14.725,
  "final_energy_ev_per_atom": -4.80,
  "total_magnetization_mub_per_cell": 0.00,
  "dos_ef_per_ev_fu": 1.69
}